The following is a PBE calculation of a geometry-optimized RbGeSb structure, from the Alexandria database.

The structure in CIF format:
```
data_RbGeSb
_chemical_formula_sum 'Rb2 Ge2 Sb2'
_cell_length_a 5.8277
_cell_length_b 5.5599
_cell_length_c 7.4078
_cell_angle_alpha 112.04
_cell_angle_beta 90.00
_cell_angle_gamma 90.00
_symmetry_space_group_name_H-M 'P 1'
_symmetry_Int_Tables_number 1
_symmetry_space_group_name_Hall 'P 1'
loop_
_atom_site_label
_atom_site_type_symbol
_atom_site_fract_x
_atom_site_fract_y
_atom_site_fract_z
Rb1 Rb 0.0000 0.1486 0.2972
Rb2 Rb 0.0000 0.8514 0.7028
Ge1 Ge 0.5000 0.7845 0.0000
Ge2 Ge 0.5000 0.2155 0.0000
Sb1 Sb 0.5000 0.6604 0.3209
Sb2 Sb 0.5000 0.3396 0.6791
```

Output
Raw total energy ... -10.10 eV per formula unit
SG ... Cmmm (65)
E_form (uncorrected) ... -0.4 eV/f.u.
Crystal system ... orthorhombic